(1)
## AcErSiAu (PBE)

Data for AcErSiAu after structural relaxation.

Cell: 5.277 5.277 5.277 Å, 60.00 60.00 60.00°
Site moments in Bohr magnetons follow the coordinates.
Positions (direct):
Ac: 0.500 0.500 0.500  -0.03
Au: 0.250 0.250 0.250  -0.01
Si: 0.750 0.750 0.750  0.01
Er: 0.000 0.000 0.000  -0.08

Results
Formation energy from raw total energies, eV per atom: -0.544

***

(2)
## Ac2ErSnAu6 (PBE)

Data for Ac2ErSnAu6 after structural relaxation.

Cell: 7.507 7.507 7.507 Å, 60.00 60.00 90.00°
Positions (direct):
Ac: 0.250 0.750 0.500
Ac: 0.750 0.250 0.500
Er: 0.500 0.500 0.000
Sn: 0.000 0.000 0.000
Au: 0.247 0.753 0.000
Au: 0.753 0.753 0.000
Au: 0.247 0.247 0.506
Au: 0.753 0.247 0.000
Au: 0.247 0.247 0.000
Au: 0.753 0.753 0.494

Results
Formation enthalpy at 0 K, eV/atom: -0.26

***

(3)
## Ac2ErSn3Au4 (PBE)

Data for Ac2ErSn3Au4 after structural relaxation.

Cell: 4.723 4.723 11.837 Å, 90.00 90.00 90.00°
Positions (direct):
Ac: 0.500 0.000 0.222
Ac: 0.000 0.500 0.778
Er: 0.500 0.500 0.500
Sn: 0.000 0.000 0.500
Sn: 0.500 0.000 0.871
Sn: 0.000 0.500 0.129
Au: 0.500 0.500 0.000
Au: 0.000 0.000 0.000
Au: 0.500 0.000 0.642
Au: 0.000 0.500 0.358

Results
Formation enthalpy at 0 K, eV/atom: -0.70

***

(4)
## Ac2ErSn4Au3 (PBE)

Data for Ac2ErSn4Au3 after structural relaxation.

Cell: 4.680 4.680 12.417 Å, 90.00 90.00 90.00°
Positions (direct):
Ac: 0.500 0.000 0.238
Ac: 0.000 0.500 0.762
Er: 0.500 0.500 0.500
Sn: 0.500 0.500 0.000
Sn: 0.000 0.000 0.000
Sn: 0.500 0.000 0.648
Sn: 0.000 0.500 0.352
Au: 0.000 0.000 0.500
Au: 0.500 0.000 0.867
Au: 0.000 0.500 0.133

Results
Formation enthalpy at 0 K, eV/atom: -0.65

***

(5)
## Ac2ErZnAu6 (PBE)

Data for Ac2ErZnAu6 after structural relaxation.

Cell: 5.885 8.727 7.578 Å, 53.16 73.58 103.64°
Positions (direct):
Ac: 0.316 0.809 0.414
Ac: 0.684 0.191 0.586
Er: 0.500 0.500 0.000
Zn: 0.000 0.000 0.000
Au: 0.175 0.695 0.073
Au: 0.048 0.941 0.693
Au: 0.293 0.403 0.476
Au: 0.825 0.305 0.927
Au: 0.952 0.059 0.307
Au: 0.707 0.597 0.524

Results
Formation enthalpy at 0 K, eV/atom: -0.60

***

(6)
## AcErZnAu (PBE)

Data for AcErZnAu after structural relaxation.

Cell: 5.306 5.306 5.306 Å, 60.00 60.00 60.00°
Positions (direct):
Ac: 0.750 0.750 0.750
Au: 0.500 0.500 0.500
Zn: 0.000 0.000 0.000
Er: 0.250 0.250 0.250

Results
Formation enthalpy at 0 K, eV/atom: -0.49

***

(7)
## AcEuAu (PBE)

Data for AcEuAu after structural relaxation.

Cell: 5.343 5.343 5.343 Å, 60.00 60.00 60.00°
Site moments in Bohr magnetons follow the coordinates.
Positions (direct):
Eu: 0.000 0.000 0.000  -6.87
Ac: 0.500 0.500 0.500  -0.05
Au: 0.250 0.250 0.250  0.00

Results
Formation enthalpy at 0 K, eV/atom: -0.45

***

(8)
## Ac3EuAu (PBE)

Data for Ac3EuAu after structural relaxation.

Cell: 6.148 6.148 6.148 Å, 90.00 90.00 90.00°
Site moments in Bohr magnetons follow the coordinates.
Positions (direct):
Eu: 0.500 0.500 0.500  7.03
Ac: 0.000 0.500 0.000  0.15
Ac: 0.000 0.000 0.500  0.15
Ac: 0.500 0.000 0.000  0.15
Au: 0.000 0.000 0.000  0.06

Results
Formation enthalpy at 0 K, eV/atom: -0.14

***

(9)
## AcEuAu4 (PBE)

Data for AcEuAu4 after structural relaxation.

Cell: 5.864 5.864 5.864 Å, 60.00 60.00 60.00°
Site moments in Bohr magnetons follow the coordinates.
Positions (direct):
Eu: 0.000 0.000 0.000  6.85
Ac: 0.250 0.250 0.250  0.05
Au: 0.626 0.626 0.123  0.01
Au: 0.626 0.123 0.626  0.01
Au: 0.626 0.626 0.626  0.01
Au: 0.123 0.626 0.626  0.01

Results
Formation enthalpy at 0 K, eV/atom: -0.56

***

(10)
## AcEuAu (PBE)

Data for AcEuAu after structural relaxation.

Cell: 4.365 5.137 5.137 Å, 120.00 90.00 90.00°
Site moments in Bohr magnetons follow the coordinates.
Positions (direct):
Eu: 0.575 0.667 0.333  6.86
Ac: 0.052 0.000 0.000  0.04
Au: 0.373 0.333 0.667  0.00

Results
Formation enthalpy at 0 K, eV/atom: -0.38

***

(11)
## Ac2EuAu (PBE)

Data for Ac2EuAu after structural relaxation.

Cell: 4.092 5.762 5.762 Å, 90.00 90.00 90.00°
Site moments in Bohr magnetons follow the coordinates.
Positions (direct):
Eu: 0.500 0.500 0.500  6.92
Ac: 0.000 0.000 0.500  0.08
Ac: 0.000 0.500 0.000  0.08
Au: 0.500 0.000 0.000  0.01

Results
Formation enthalpy at 0 K, eV/atom: -0.21

***

(12)
## AcEuAu (PBE)

Data for AcEuAu after structural relaxation.

Cell: 3.884 3.884 7.304 Å, 105.42 105.42 90.00°
Site moments in Bohr magnetons follow the coordinates.
Positions (direct):
Eu: 0.033 0.033 0.065  -6.89
Ac: 0.301 0.301 0.602  -0.04
Au: 0.667 0.667 0.333  0.00

Results
Formation enthalpy at 0 K, eV/atom: -0.51

***

(13)
## Ac2EuAu (PBE)

Data for Ac2EuAu after structural relaxation.

Cell: 4.157 4.157 10.952 Å, 79.06 79.06 60.00°
Site moments in Bohr magnetons follow the coordinates.
Positions (direct):
Eu: 0.500 0.500 0.500  6.99
Ac: 0.268 0.268 0.195  0.02
Ac: 0.732 0.732 0.805  0.02
Au: 0.000 0.000 0.000  -0.02

Results
Formation enthalpy at 0 K, eV/atom: -0.31

***

(14)
## Ac2EuAu (PBE)

Data for Ac2EuAu after structural relaxation.

Cell: 3.951 3.951 9.490 Å, 90.00 90.00 90.00°
Site moments in Bohr magnetons follow the coordinates.
Positions (direct):
Eu: 0.500 0.500 0.500  7.04
Ac: 0.000 0.000 0.803  0.12
Ac: 0.000 0.000 0.197  0.12
Au: 0.500 0.500 0.000  0.02

Results
Formation enthalpy at 0 K, eV/atom: -0.36

***

(15)
## AcEuGeAu (PBE)

Data for AcEuGeAu after structural relaxation.

Cell: 5.429 5.429 5.429 Å, 60.00 60.00 60.00°
Site moments in Bohr magnetons follow the coordinates.
Positions (direct):
Eu: 0.000 0.000 0.000  6.85
Ac: 0.500 0.500 0.500  0.02
Au: 0.750 0.750 0.750  -0.01
Ge: 0.250 0.250 0.250  -0.04

Results
Formation enthalpy at 0 K, eV/atom: -0.74

***

(16)
## AcEuHgAu (PBE)

Data for AcEuHgAu after structural relaxation.

Cell: 5.520 5.520 5.520 Å, 60.00 60.00 60.00°
Site moments in Bohr magnetons follow the coordinates.
Positions (direct):
Eu: 0.250 0.250 0.250  -6.87
Ac: 0.750 0.750 0.750  -0.04
Au: 0.000 0.000 0.000  -0.01
Hg: 0.500 0.500 0.500  -0.02

Results
Formation enthalpy at 0 K, eV/atom: -0.64

***

(17)
## AcEuIrAu (PBE)

Data for AcEuIrAu after structural relaxation.

Cell: 5.247 5.247 5.247 Å, 60.00 60.00 60.00°
Site moments in Bohr magnetons follow the coordinates.
Positions (direct):
Eu: 0.750 0.750 0.750  6.81
Ac: 0.250 0.250 0.250  0.05
Ir: 0.500 0.500 0.500  -0.09
Au: 0.000 0.000 0.000  0.02

Results
Formation enthalpy at 0 K, eV/atom: -0.59

***

(18)
## AcEuMgAu (PBE)

Data for AcEuMgAu after structural relaxation.

Cell: 5.564 5.564 5.564 Å, 60.00 60.00 60.00°
Site moments in Bohr magnetons follow the coordinates.
Positions (direct):
Eu: 0.750 0.750 0.750  6.87
Ac: 0.250 0.250 0.250  0.03
Au: 0.500 0.500 0.500  0.01
Mg: 0.000 0.000 0.000  0.00

Results
Formation enthalpy at 0 K, eV/atom: -0.37

***

(19)
## AcEuNiAu (PBE)

Data for AcEuNiAu after structural relaxation.

Cell: 5.280 5.280 5.280 Å, 60.00 60.00 60.00°
Site moments in Bohr magnetons follow the coordinates.
Positions (direct):
Eu: 0.000 0.000 0.000  6.83
Ni: 0.250 0.250 0.250  -0.05
Ac: 0.500 0.500 0.500  0.04
Au: 0.750 0.750 0.750  0.01

Results
Formation enthalpy at 0 K, eV/atom: -0.40

***

(20)
## AcEuPAu (PBE)

Data for AcEuPAu after structural relaxation.

Cell: 5.332 5.332 5.332 Å, 60.00 60.00 60.00°
Site moments in Bohr magnetons follow the coordinates.
Positions (direct):
Eu: 0.750 0.750 0.750  6.90
P: 0.000 0.000 0.000  -0.04
Ac: 0.250 0.250 0.250  0.12
Au: 0.500 0.500 0.500  0.04

Results
Formation enthalpy at 0 K, eV/atom: -0.87

***

(21)
## AcEuRhAu (PBE)

Data for AcEuRhAu after structural relaxation.

Cell: 5.264 5.264 5.264 Å, 60.00 60.00 60.00°
Site moments in Bohr magnetons follow the coordinates.
Positions (direct):
Eu: 0.250 0.250 0.250  6.82
Rh: 0.000 0.000 0.000  -0.07
Ac: 0.750 0.750 0.750  0.04
Au: 0.500 0.500 0.500  0.02

Results
Formation enthalpy at 0 K, eV/atom: -0.63

***

(22)
## AcEuSbAu (PBE)

Data for AcEuSbAu after structural relaxation.

Cell: 5.571 5.571 5.571 Å, 60.00 60.00 60.00°
Site moments in Bohr magnetons follow the coordinates.
Positions (direct):
Eu: 0.750 0.750 0.750  6.93
Sb: 0.500 0.500 0.500  -0.04
Ac: 0.250 0.250 0.250  0.14
Au: 0.000 0.000 0.000  0.04

Results
Formation energy from raw total energies, eV per atom: -0.860

***

(23)
## AcEuSiAu (PBE)

Data for AcEuSiAu after structural relaxation.

Cell: 5.395 5.395 5.395 Å, 60.00 60.00 60.00°
Site moments in Bohr magnetons follow the coordinates.
Positions (direct):
Eu: 0.000 0.000 0.000  6.84
Ac: 0.500 0.500 0.500  0.02
Au: 0.250 0.250 0.250  -0.01
Si: 0.750 0.750 0.750  -0.04

Results
Formation energy from raw total energies, eV per atom: -0.625

***

(24)
## AcEuTeAu (PBE)

Data for AcEuTeAu after structural relaxation.

Cell: 5.587 5.587 5.587 Å, 60.00 60.00 60.00°
Site moments in Bohr magnetons follow the coordinates.
Positions (direct):
Eu: 0.500 0.500 0.500  7.04
Ac: 0.000 0.000 0.000  0.30
Te: 0.750 0.750 0.750  0.01
Au: 0.250 0.250 0.250  0.07

Results
Formation energy from raw total energies, eV per atom: -0.941

***

(25)
## AcEuZnAu (PBE)

Data for AcEuZnAu after structural relaxation.

Cell: 5.430 5.430 5.430 Å, 60.00 60.00 60.00°
Site moments in Bohr magnetons follow the coordinates.
Positions (direct):
Eu: 0.750 0.750 0.750  6.86
Ac: 0.250 0.250 0.250  0.04
Au: 0.500 0.500 0.500  0.02
Zn: 0.000 0.000 0.000  0.02

Results
Formation enthalpy at 0 K, eV/atom: -0.52

***

(26)
## AcAu2F8 (PBE)

Data for AcAu2F8 after structural relaxation.

Cell: 5.941 5.941 7.108 Å, 114.70 114.70 90.00°
Site moments in Bohr magnetons follow the coordinates.
Positions (direct):
Ac: 0.500 0.500 0.000  0.01
Au: 0.750 0.250 0.500  0.29
Au: 0.250 0.750 0.500  0.29
F: 0.783 0.309 0.248  0.05
F: 0.061 0.535 0.752  0.05
F: 0.691 0.217 0.752  0.05
F: 0.217 0.061 0.752  0.05
F: 0.465 0.939 0.248  0.05
F: 0.939 0.783 0.248  0.05
F: 0.309 0.465 0.248  0.05
F: 0.535 0.691 0.752  0.05

Results
Formation energy from raw total energies, eV per atom: -2.109

***

(27)
## Ac2AuF (PBE)

Data for Ac2AuF after structural relaxation.

Cell: 4.793 4.793 8.408 Å, 73.44 73.44 60.00°
Positions (direct):
Ac: 0.101 0.101 0.696
Ac: 0.899 0.899 0.304
Au: 0.500 0.500 0.500
F: 0.000 0.000 0.000

Results
Formation energy from raw total energies, eV per atom: -1.626

***

(28)
## AcAuF5 (PBE)

Data for AcAuF5 after structural relaxation.

Cell: 4.736 4.738 10.757 Å, 113.36 95.72 82.89°
Site moments in Bohr magnetons follow the coordinates.
Positions (direct):
Ac: 0.999 0.001 0.999  0.01
Ac: 0.999 0.501 0.499  0.01
Au: 0.499 0.251 0.749  0.60
Au: 0.500 0.752 0.249  0.60
F: 0.000 0.252 0.249  0.00
F: 0.998 0.751 0.749  0.00
F: 0.841 0.928 0.394  0.09
F: 0.531 0.947 0.104  0.09
F: 0.159 0.575 0.104  0.09
F: 0.468 0.558 0.395  0.09
F: 0.840 0.428 0.895  0.09
F: 0.530 0.445 0.603  0.09
F: 0.467 0.056 0.895  0.09
F: 0.157 0.075 0.604  0.09

Results
Formation energy from raw total energies, eV per atom: -2.709